[1]
# Ac2TlNiPd6 (PBE, optimized geometry)
data_Ac2TlNiPd6
_chemical_formula_sum 'Ac2 Tl1 Ni1 Pd6'
_symmetry_space_group_name_H-M 'P 1'
_symmetry_Int_Tables_number 1
_cell_length_a 5.7796
_cell_length_b 9.0347
_cell_length_c 9.0308
_cell_angle_alpha 37.31
_cell_angle_beta 71.35
_cell_angle_gamma 90.02
loop_
_symmetry_equiv_pos_as_xyz
'x,y,z'
loop_
_atom_site_label
_atom_site_fract_x
_atom_site_fract_y
_atom_site_fract_z
_atom_site_occupancy
Tl1 0.5000 0.5000 0.0000 1
Pd1 0.2439 0.7568 0.0139 1
Pd2 0.7561 0.2432 0.9861 1
Pd3 0.2583 0.2431 0.9860 1
Pd4 0.7417 0.7569 0.0140 1
Ac1 0.7056 0.2948 0.5885 1
Ni1 0.0000 0.0000 0.0000 1
Pd5 0.7563 0.7409 0.4880 1
Pd6 0.2437 0.2591 0.5120 1
Ac2 0.2944 0.7052 0.4115 1
# * ρ: 9.3 g cm⁻³
# * space-group type: R-3m
# * volume: 24.276 Å³ per atom
# * total DFT energy (no corrections): -5.20 eV/atom
# * ΔE_f: -0.446 eV/atom



[2]
# Ac2ZnNiPd6 (PBE, optimized geometry)
data_Ac2ZnNiPd6
_chemical_formula_sum 'Ac2 Zn1 Ni1 Pd6'
_symmetry_space_group_name_H-M 'P 1'
_symmetry_Int_Tables_number 1
_cell_length_a 6.7124
_cell_length_b 6.7740
_cell_length_c 8.5709
_cell_angle_alpha 50.22
_cell_angle_beta 50.86
_cell_angle_gamma 82.06
loop_
_symmetry_equiv_pos_as_xyz
'x,y,z'
loop_
_atom_site_label
_atom_site_fract_x
_atom_site_fract_y
_atom_site_fract_z
_atom_site_occupancy
Pd1 0.2495 0.7503 0.8438 1
Zn1 0.5000 0.5000 0.0000 1
Pd2 0.2433 0.2550 0.5020 1
Pd3 0.7451 0.7570 0.9999 1
Pd4 0.7567 0.7450 0.4980 1
Pd5 0.7505 0.2497 0.1562 1
Ac1 0.2574 0.7426 0.4669 1
Pd6 0.2549 0.2430 0.0001 1
Ni1 0.0000 0.0000 0.0000 1
Ac2 0.7426 0.2574 0.5331 1
# * ρ: 9.7 g cm⁻³
# * space-group type: C2/m
# * volume: 20.799 Å³ per atom
# * total DFT energy (no corrections): -5.22 eV/atom
# * ΔE_f: -0.575 eV/atom



[3]
# Ac2Zn4NiPd3 (PBE, optimized geometry)
data_Ac2Zn4NiPd3
_chemical_formula_sum 'Ac2 Zn4 Ni1 Pd3'
_symmetry_space_group_name_H-M 'P 1'
_symmetry_Int_Tables_number 1
_cell_length_a 4.5080
_cell_length_b 4.5080
_cell_length_c 10.0449
_cell_angle_alpha 90.00
_cell_angle_beta 90.00
_cell_angle_gamma 90.00
loop_
_symmetry_equiv_pos_as_xyz
'x,y,z'
loop_
_atom_site_label
_atom_site_fract_x
_atom_site_fract_y
_atom_site_fract_z
_atom_site_occupancy
Ni1 0.5000 0.5000 0.5000 1
Zn1 0.5000 0.0000 0.6136 1
Pd1 0.0000 0.5000 0.1303 1
Zn2 0.5000 0.5000 0.0000 1
Ac1 0.0000 0.5000 0.7373 1
Pd2 0.0000 0.0000 0.5000 1
Pd3 0.5000 0.0000 0.8697 1
Zn3 0.0000 0.5000 0.3864 1
Ac2 0.5000 0.0000 0.2627 1
Zn4 0.0000 0.0000 0.0000 1
# * ρ: 8.9 g cm⁻³
# * space-group type: P-4m2
# * volume: 20.413 Å³ per atom
# * total DFT energy (no corrections): -4.02 eV/atom
# * ΔE_f: -0.549 eV/atom



[4]
# Ac2ZnNiPd (PBE, optimized geometry)
data_Ac2ZnNiPd
_chemical_formula_sum 'Ac4 Zn2 Ni2 Pd2'
_symmetry_space_group_name_H-M 'P 1'
_symmetry_Int_Tables_number 1
_cell_length_a 4.3026
_cell_length_b 8.2630
_cell_length_c 7.6947
_cell_angle_alpha 113.61
_cell_angle_beta 90.00
_cell_angle_gamma 90.00
loop_
_symmetry_equiv_pos_as_xyz
'x,y,z'
loop_
_atom_site_label
_atom_site_fract_x
_atom_site_fract_y
_atom_site_fract_z
_atom_site_occupancy
Zn1 0.2500 0.5701 0.6743 1
Ni1 0.2500 0.9078 0.9273 1
Ac1 0.7500 0.7133 0.0504 1
Zn2 0.7500 0.4299 0.3257 1
Pd1 0.2500 0.6348 0.3276 1
Ac2 0.7500 0.8533 0.6299 1
Ni2 0.7500 0.0922 0.0727 1
Ac3 0.2500 0.1467 0.3701 1
Pd2 0.7500 0.3652 0.6724 1
Ac4 0.2500 0.2867 0.9496 1
# * ρ: 9.1 g cm⁻³
# * space-group type: P2_1/m
# * volume: 25.066 Å³ per atom
# * total DFT energy (no corrections): -4.59 eV/atom
# * ΔE_f: -0.496 eV/atom